# 1
The following is a PBE calculation of an optimized crystal structure of KGa, from the Alexandria database.

Unit cell a=6.9641 b=6.9641 c=6.9205 alpha=90.00 beta=90.00 gamma=90.00
Sites, in units of the cell vectors:
Ga 0.3725 0.3725 0.0000
Ga 0.8725 0.1275 0.5000
Ga 0.6275 0.6275 0.0000
Ga 0.1275 0.8725 0.5000
K 0.1759 0.8241 0.0000
K 0.3241 0.3241 0.5000
K 0.8241 0.1759 0.0000
K 0.6759 0.6759 0.5000

* distance to the lowest polymorph of the same formula: 32.9 kJ/mol of atoms
* calculated total energy: -1.827 eV/atom
* density: 2.15 g/cm³
* magnetization: 0.00 μB/atom
* ΔH_f (0 K): 0.235 eV per atom

***

# 2
The following is a PBE calculation of an optimized crystal structure of LiLuCdAu, from the Alexandria database.

Unit cell a=4.8132 b=4.8132 c=4.8132 alpha=60.00 beta=60.00 gamma=60.00
Sites, in units of the cell vectors:
Lu 0.2500 0.2500 0.2500
Au 0.0000 0.0000 0.0000
Li 0.5000 0.5000 0.5000
Cd 0.7500 0.7500 0.7500

* calculated total energy: -3.141 eV/atom
* density: 10.35 g/cm³
* magnetization: 0.00 μB/atom
* ΔH_f (0 K): -0.485 eV per atom

***

# 3
The following is a PBE calculation of an optimized crystal structure of Ba2LiIn4Ag3, from the Alexandria database.

Unit cell a=4.8094 b=4.8094 c=11.9956 alpha=90.00 beta=90.00 gamma=90.00
Sites, in units of the cell vectors:
In 0.0000 0.0000 0.0000
In 0.5000 0.0000 0.6269
In 0.5000 0.5000 0.0000
In 0.0000 0.5000 0.3731
Ba 0.0000 0.5000 0.7509
Ba 0.5000 0.0000 0.2491
Ag 0.0000 0.5000 0.1358
Ag 0.0000 0.0000 0.5000
Ag 0.5000 0.0000 0.8642
Li 0.5000 0.5000 0.5000

* calculated total energy: -2.812 eV/atom
* density: 6.37 g/cm³
* magnetization: 0.00 μB/atom
* ΔH_f (0 K): -0.285 eV per atom

***

# 4
The following is a PBE calculation of an optimized crystal structure of TlCu2AsBr8, from the Alexandria database.

Unit cell a=6.6864 b=6.6864 c=8.4964 alpha=91.27 beta=91.27 gamma=70.99
Sites, in units of the cell vectors:
Br 0.7515 0.2584 0.2255
Br 0.7453 0.7453 0.4879
Br 0.2584 0.7515 0.2255
Br 0.7570 0.7570 0.9867
Br 0.2547 0.2547 0.5121
Br 0.2430 0.2430 0.0133
Br 0.7416 0.2485 0.7745
Br 0.2485 0.7416 0.7745
Cu 0.3416 0.3416 0.7675
Cu 0.6584 0.6584 0.2325
Tl 0.0000 0.0000 0.5000
As 0.0000 0.0000 0.0000

* calculated total energy: -2.748 eV/atom
* density: 4.84 g/cm³
* formation energy without anion corrections: -8.42 kcal/mol of atoms
* magnetization: 0.00 μB/atom

***

- Which of these has the highest calculated total energy?
  KGa